VASP calculation (GGA-PBE) on NaSnAu after structural relaxation.

Results
Total magnetization (μB per cell): 0.00
Symmetry: P-6m2
Electronic total energy (eV/atom): -3.19

Lattice parameters (Å, degrees): 4.8596 4.8596 3.3612 90.00 90.00 120.00
Closest atoms and distances in Å follow each position.
Sites, in units of the cell vectors:
1 Na 0.0000 0.0000 0.0000  6 Au 3.27, 6 Sn 3.27, 2 Na 3.36
2 Sn 0.6667 0.3333 0.5000  3 Au 2.81
3 Au 0.3333 0.6667 0.5000  3 Sn 2.81

VASP calculation (GGA-PBE) on Na3Sn2Au7 after structural relaxation.

Results
Total magnetization (μB per cell): 0.00
Symmetry: R-3m
Electronic total energy (eV/atom): -3.16

Lattice parameters (Å, degrees): 10.0859 10.0859 10.0859 32.77 32.77 32.77
Closest atoms and distances in Å follow each position.
Sites, in units of the cell vectors:
1 Na 0.0000 0.0000 0.0000  6 Sn 3.29
2 Na 0.1437 0.1437 0.1437  12 Au 3.27-3.35, 3 Na 3.54
3 Na 0.8563 0.8563 0.8563  12 Au 3.27-3.35, 3 Na 3.54
4 Sn 0.3308 0.3308 0.3308  6 Au 2.93-3.06
5 Sn 0.6692 0.6692 0.6692  6 Au 2.93-3.06
6 Au 0.0856 0.5885 0.5885  5 Au 2.80-2.86, 2 Sn 2.93-3.06
7 Au 0.4115 0.4115 0.9144  5 Au 2.80-2.86, 2 Sn 2.93-3.06
8 Au 0.4115 0.9144 0.4115  5 Au 2.80-2.86, 2 Sn 2.93-3.06
9 Au 0.5000 0.5000 0.5000  6 Au 2.80
10 Au 0.5885 0.0856 0.5885  5 Au 2.80-2.86, 2 Sn 2.93-3.06
11 Au 0.5885 0.5885 0.0856  5 Au 2.80-2.86, 2 Sn 2.93-3.06
12 Au 0.9144 0.4115 0.4115  5 Au 2.80-2.86, 2 Sn 2.93-3.06

VASP calculation (GGA-PBE) on Na3SnAu4 after structural relaxation.

Results
Total magnetization (μB per cell): 0.00
Energy above the lowest structure with this stoichiometry (meV/atom): 0.0
Symmetry: P1
Electronic total energy (eV/atom): -2.94

Lattice parameters (Å, degrees): 5.7023 5.7090 6.9684 108.74 92.33 118.53
Closest atoms and distances in Å follow each position.
Sites, in units of the cell vectors:
1 Na 0.0000 0.0000 0.0000  5 Au 3.10-3.24, 1 Sn 3.27
2 Na 0.1147 0.6402 0.3784  7 Au 2.93-3.28, 1 Na 3.27
3 Na 0.5940 0.2019 0.7742  4 Au 2.99-3.31, 1 Na 3.27, 2 Sn 3.32-3.34
4 Sn 0.2772 0.6019 0.8664  4 Au 2.71-2.85
5 Au 0.5645 0.1190 0.2335  4 Au 2.82-3.06, 1 Sn 2.85, 1 Na 2.93
6 Au 0.5669 0.5775 0.5684  1 Sn 2.72, 3 Au 2.76-2.91, 1 Na 2.99
7 Au 0.5685 0.5878 0.1751  1 Sn 2.71, 4 Au 2.76-2.94, 1 Na 3.01
8 Au 0.9723 0.0965 0.5164  1 Sn 2.76, 4 Au 2.85-3.09, 2 Na 2.97-3.02

VASP calculation (GGA-PBE) on Na4SnAu after structural relaxation.

Results
Total magnetization (μB per cell): 0.00
Symmetry: Cmc2_1
Electronic total energy (eV/atom): -2.29

Lattice parameters (Å, degrees): 7.4050 7.4050 8.8568 90.00 90.00 137.01
Closest atoms and distances in Å follow each position.
Sites, in units of the cell vectors:
1 Na 0.0355 0.9645 0.5000  2 Au 3.04-3.32, 2 Sn 3.29
2 Na 0.1918 0.8082 0.8077  4 Na 3.10-3.47, 1 Au 3.29, 3 Sn 3.32-3.36
3 Na 0.2843 0.7157 0.4736  5 Na 3.10-3.44, 3 Au 3.20-3.35, 3 Sn 3.41-3.45
4 Na 0.4488 0.5512 0.7658  2 Au 3.17, 2 Sn 3.17-3.29, 3 Na 3.42-3.44
5 Na 0.5512 0.4488 0.2658  2 Au 3.17, 2 Sn 3.17-3.29, 3 Na 3.42-3.44
6 Na 0.7157 0.2843 0.9736  5 Na 3.10-3.44, 3 Au 3.20-3.35, 3 Sn 3.41-3.45
7 Na 0.8082 0.1918 0.3077  4 Na 3.10-3.47, 1 Au 3.29, 3 Sn 3.32-3.36
8 Na 0.9645 0.0355 0.0000  2 Au 3.04-3.32, 2 Sn 3.29
9 Sn 0.3466 0.6534 0.1010  1 Au 2.73
10 Sn 0.6534 0.3466 0.6010  1 Au 2.73
11 Au 0.1542 0.8458 0.1741  1 Sn 2.73, 1 Na 3.04
12 Au 0.8458 0.1542 0.6741  1 Sn 2.73, 1 Na 3.04

VASP calculation (GGA-PBE) on Na12Sn7Au after structural relaxation.

Results
Total magnetization (μB per cell): 0.00
Symmetry: R-3
Electronic total energy (eV/atom): -2.52

Lattice parameters (Å, degrees): 8.5738 8.5738 8.5738 103.63 103.63 103.63
Closest atoms and distances in Å follow each position.
Sites, in units of the cell vectors:
1 Na 0.0336 0.7622 0.2655  4 Sn 3.23-3.40, 5 Na 3.35-3.60
2 Na 0.1358 0.2145 0.4080  1 Au 3.27, 5 Na 3.27-3.60, 4 Sn 3.27-3.57
3 Na 0.2145 0.4080 0.1358  1 Au 3.27, 5 Na 3.27-3.60, 4 Sn 3.27-3.57
4 Na 0.2378 0.7345 0.9664  4 Sn 3.23-3.40, 5 Na 3.35-3.60
5 Na 0.2655 0.0336 0.7622  4 Sn 3.23-3.40, 5 Na 3.35-3.60
6 Na 0.4080 0.1358 0.2145  1 Au 3.27, 5 Na 3.27-3.60, 4 Sn 3.27-3.57
7 Na 0.5920 0.8642 0.7855  1 Au 3.27, 5 Na 3.27-3.60, 4 Sn 3.27-3.57
8 Na 0.7345 0.9664 0.2378  4 Sn 3.23-3.40, 5 Na 3.35-3.60
9 Na 0.7622 0.2655 0.0336  4 Sn 3.23-3.40, 5 Na 3.35-3.60
10 Na 0.7855 0.5920 0.8642  1 Au 3.27, 5 Na 3.27-3.60, 4 Sn 3.27-3.57
11 Na 0.8642 0.7855 0.5920  1 Au 3.27, 5 Na 3.27-3.60, 4 Sn 3.27-3.57
12 Na 0.9664 0.2378 0.7345  4 Sn 3.23-3.40, 5 Na 3.35-3.60
13 Sn 0.0000 0.0000 0.0000  12 Na 3.32-3.40
14 Sn 0.2070 0.6212 0.5711  1 Au 3.07, 3 Sn 3.13-3.42, 5 Na 3.23-3.39
15 Sn 0.3788 0.4289 0.7930  1 Au 3.07, 3 Sn 3.13-3.42, 5 Na 3.23-3.39
16 Sn 0.4289 0.7930 0.3788  1 Au 3.07, 3 Sn 3.13-3.42, 5 Na 3.23-3.39
17 Sn 0.5711 0.2070 0.6212  1 Au 3.07, 3 Sn 3.13-3.42, 5 Na 3.23-3.39
18 Sn 0.6212 0.5711 0.2070  1 Au 3.07, 3 Sn 3.13-3.42, 5 Na 3.23-3.39
19 Sn 0.7930 0.3788 0.4289  1 Au 3.07, 3 Sn 3.13-3.42, 5 Na 3.23-3.39
20 Au 0.5000 0.5000 0.5000  6 Sn 3.07, 6 Na 3.27

VASP calculation (GGA-PBE) on Na2SnAu after structural relaxation.

Results
Total magnetization (μB per cell): 0.00
Symmetry: I-42d
Electronic total energy (eV/atom): -2.57

Lattice parameters (Å, degrees): 6.7002 6.7002 6.7002 100.52 100.52 129.42
Closest atoms and distances in Å follow each position.
Sites, in units of the cell vectors:
1 Na 0.0874 0.1250 0.4624  2 Au 2.90, 2 Na 2.93
2 Na 0.3750 0.9126 0.0376  2 Au 2.90, 2 Na 2.93
3 Na 0.6626 0.6250 0.5376  2 Au 2.90, 2 Na 2.93
4 Na 0.8750 0.3374 0.9624  2 Au 2.90, 2 Na 2.93
5 Sn 0.2500 0.7500 0.5000  2 Au 2.86
6 Sn 0.5000 0.5000 0.0000  2 Au 2.86
7 Au 0.0000 0.0000 0.0000  2 Sn 2.86, 4 Na 2.90
8 Au 0.7500 0.2500 0.5000  2 Sn 2.86, 4 Na 2.90

VASP calculation (GGA-PBE) on Na2Sn7Au12 after structural relaxation.

Results
Total magnetization (μB per cell): 0.00
Symmetry: P-1
Electronic total energy (eV/atom): -3.53

Lattice parameters (Å, degrees): 5.1800 10.3764 10.4406 60.26 89.75 89.65
Closest atoms and distances in Å follow each position.
Sites, in units of the cell vectors:
1 Na 0.1479 0.1665 0.1646  3 Au 3.18-3.19
2 Na 0.8521 0.8335 0.8354  3 Au 3.18-3.19
3 Sn 0.3536 0.6075 0.7842  5 Au 2.76-2.93
4 Sn 0.3542 0.7820 0.1111  6 Au 2.76-3.07
5 Sn 0.3584 0.1091 0.6093  6 Au 2.76-3.05
6 Sn 0.5000 0.5000 0.5000  6 Au 2.92-2.94
7 Sn 0.6416 0.8909 0.3907  6 Au 2.76-3.05
8 Sn 0.6458 0.2180 0.8889  6 Au 2.76-3.07
9 Sn 0.6464 0.3925 0.2158  5 Au 2.76-2.93
10 Au 0.1584 0.7608 0.3674  4 Sn 2.76-3.05, 4 Au 2.88-3.01
11 Au 0.1610 0.3743 0.7578  4 Sn 2.76-3.07, 4 Au 2.88-2.99
12 Au 0.1637 0.3654 0.3738  4 Sn 2.76-3.09, 4 Au 2.88-2.99
13 Au 0.1905 0.5538 0.0581  3 Sn 2.76-2.89, 3 Au 2.83-2.99
14 Au 0.1908 0.8872 0.5580  3 Sn 2.76-2.90, 3 Au 2.83-2.99
15 Au 0.1926 0.0562 0.8892  3 Sn 2.76-2.89, 3 Au 2.83-3.01
16 Au 0.8074 0.9438 0.1108  3 Sn 2.76-2.89, 3 Au 2.83-3.01
17 Au 0.8092 0.1128 0.4420  3 Sn 2.76-2.90, 3 Au 2.83-2.99
18 Au 0.8095 0.4462 0.9419  3 Sn 2.76-2.89, 3 Au 2.83-2.99
19 Au 0.8363 0.6346 0.6262  4 Sn 2.76-3.09, 4 Au 2.88-2.99
20 Au 0.8390 0.6257 0.2422  4 Sn 2.76-3.07, 4 Au 2.88-2.99
21 Au 0.8416 0.2392 0.6326  4 Sn 2.76-3.05, 4 Au 2.88-3.01

VASP calculation (GGA-PBE) on NaSnAu after structural relaxation.

Results
Total magnetization (μB per cell): 0.00
Symmetry: F-43m
Electronic total energy (eV/atom): -3.11

Lattice parameters (Å, degrees): 4.7281 4.7281 4.7281 60.00 60.00 60.00
Closest atoms and distances in Å follow each position.
Sites, in units of the cell vectors:
1 Na 0.0000 0.0000 0.0000  4 Au 2.90
2 Sn 0.5000 0.5000 0.5000  4 Au 2.90
3 Au 0.7500 0.7500 0.7500  4 Sn 2.90, 4 Na 2.90

VASP calculation (GGA-PBE) on Na3SnAu4 after structural relaxation.

Results
Total magnetization (μB per cell): 0.00
Energy above the lowest structure with this stoichiometry (meV/atom): 46.8
Symmetry: Imm2
Electronic total energy (eV/atom): -2.89

Lattice parameters (Å, degrees): 6.7204 6.7204 6.7204 121.02 82.99 127.36
Closest atoms and distances in Å follow each position.
Sites, in units of the cell vectors:
1 Na 0.0000 0.0000 0.0000  6 Au 2.99-3.31, 2 Na 3.29
2 Na 0.1076 0.8027 0.3049  4 Au 2.95-3.22, 1 Na 3.29
3 Na 0.4978 0.8027 0.6951  4 Au 2.95-3.22, 1 Na 3.29
4 Sn 0.8145 0.3145 0.5000  4 Au 2.68-2.76
5 Au 0.1001 0.3262 0.7739  1 Sn 2.76, 2 Au 2.86, 2 Na 2.95-2.99
6 Au 0.5070 0.3022 0.7951  1 Sn 2.68, 3 Au 2.71-2.86
7 Au 0.5070 0.7119 0.2049  1 Sn 2.68, 3 Au 2.71-2.86
8 Au 0.5523 0.3262 0.2261  1 Sn 2.76, 2 Au 2.86, 2 Na 2.95-2.99

VASP calculation (GGA-PBE) on Na8SnAu3 after structural relaxation.

Results
Total magnetization (μB per cell): 0.00
Symmetry: Fmmm
Electronic total energy (eV/atom): -2.21

Lattice parameters (Å, degrees): 8.7728 8.7597 7.1434 66.05 65.86 48.09
Closest atoms and distances in Å follow each position.
Sites, in units of the cell vectors:
1 Na 0.1224 0.6263 0.3737  3 Au 3.09, 1 Sn 3.12
2 Na 0.1217 0.6260 0.8783  3 Au 3.08-3.09, 1 Sn 3.12
3 Na 0.3737 0.8776 0.1224  3 Au 3.09, 1 Sn 3.12
4 Na 0.3740 0.8783 0.6260  3 Au 3.08-3.09, 1 Sn 3.12
5 Na 0.6260 0.1217 0.3740  3 Au 3.08-3.09, 1 Sn 3.12
6 Na 0.6263 0.1224 0.8776  3 Au 3.09, 1 Sn 3.12
7 Na 0.8783 0.3740 0.1217  3 Au 3.08-3.09, 1 Sn 3.12
8 Na 0.8776 0.3737 0.6263  3 Au 3.09, 1 Sn 3.12
9 Sn 0.5000 0.5000 0.5000  8 Na 3.12
10 Au 0.0000 0.0000 0.0000  8 Na 3.08-3.09
11 Au 0.2500 0.2500 0.2500  8 Na 3.09
12 Au 0.7500 0.7500 0.7500  8 Na 3.09

VASP calculation (GGA-PBE) on Na2Sn3Au4 after structural relaxation.

Results
Total magnetization (μB per cell): 0.00
Symmetry: Cmce
Electronic total energy (eV/atom): -3.36

Lattice parameters (Å, degrees): 9.1460 9.1460 7.5260 90.00 90.00 138.30
Closest atoms and distances in Å follow each position.
Sites, in units of the cell vectors:
1 Na 0.0898 0.9102 0.8977  5 Au 3.12-3.44, 3 Sn 3.36-3.46, 1 Na 3.43
2 Na 0.4102 0.5898 0.3977  5 Au 3.12-3.44, 3 Sn 3.36-3.46, 1 Na 3.43
3 Na 0.5898 0.4102 0.6023  5 Au 3.12-3.44, 3 Sn 3.36-3.46, 1 Na 3.43
4 Na 0.9102 0.0898 0.1023  5 Au 3.12-3.44, 3 Sn 3.36-3.46, 1 Na 3.43
5 Sn 0.0000 0.0000 0.5000  6 Au 2.80-2.84
6 Sn 0.0060 0.4940 0.7500  5 Au 2.83-2.92
7 Sn 0.4940 0.0060 0.2500  5 Au 2.83-2.92
8 Sn 0.5000 0.5000 0.0000  6 Au 2.80-2.84
9 Sn 0.5060 0.9940 0.7500  5 Au 2.83-2.92
10 Sn 0.9940 0.5060 0.2500  5 Au 2.83-2.92
11 Au 0.1661 0.8339 0.5195  5 Sn 2.83-2.92, 2 Au 3.03, 1 Na 3.13
12 Au 0.1752 0.3248 0.7500  3 Sn 2.80-2.89, 2 Au 3.03, 2 Na 3.12
13 Au 0.3248 0.1752 0.2500  3 Sn 2.80-2.89, 2 Au 3.03, 2 Na 3.12
14 Au 0.3339 0.6661 0.0195  5 Sn 2.83-2.92, 2 Au 3.03, 1 Na 3.13
15 Au 0.6661 0.3339 0.9805  5 Sn 2.83-2.92, 2 Au 3.03, 1 Na 3.13
16 Au 0.6752 0.8248 0.7500  3 Sn 2.80-2.89, 2 Au 3.03, 2 Na 3.12
17 Au 0.8248 0.6752 0.2500  3 Sn 2.80-2.89, 2 Au 3.03, 2 Na 3.12
18 Au 0.8339 0.1661 0.4805  5 Sn 2.83-2.92, 2 Au 3.03, 1 Na 3.13

VASP calculation (GGA-PBE) on NaSn12Au7 after structural relaxation.

Results
Total magnetization (μB per cell): 0.00
Symmetry: R-3
Electronic total energy (eV/atom): -3.72

Lattice parameters (Å, degrees): 9.0803 9.0803 9.0803 112.52 112.52 112.52
Closest atoms and distances in Å follow each position.
Sites, in units of the cell vectors:
1 Na 0.0000 0.0000 0.0000  6 Au 3.21
2 Sn 0.0313 0.2111 0.7173  3 Au 2.82-2.90
3 Sn 0.1416 0.5172 0.4313  4 Au 2.87-3.15, 1 Sn 3.17
4 Sn 0.2111 0.7173 0.0313  3 Au 2.82-2.90
5 Sn 0.2828 0.9687 0.7889  3 Au 2.82-2.90
6 Sn 0.4313 0.1416 0.5172  4 Au 2.87-3.15, 1 Sn 3.17
7 Sn 0.4828 0.5687 0.8584  4 Au 2.87-3.15, 1 Sn 3.17
8 Sn 0.5172 0.4313 0.1416  4 Au 2.87-3.15, 1 Sn 3.17
9 Sn 0.5687 0.8584 0.4828  4 Au 2.87-3.15, 1 Sn 3.17
10 Sn 0.7173 0.0313 0.2111  3 Au 2.82-2.90
11 Sn 0.7889 0.2827 0.9687  3 Au 2.82-2.90
12 Sn 0.8584 0.4828 0.5687  4 Au 2.87-3.15, 1 Sn 3.17
13 Sn 0.9687 0.7889 0.2828  3 Au 2.82-2.90
14 Au 0.1325 0.2053 0.4497  6 Sn 2.82-2.90, 1 Au 3.09
15 Au 0.2053 0.4497 0.1325  6 Sn 2.82-2.90, 1 Au 3.09
16 Au 0.4497 0.1325 0.2053  6 Sn 2.82-2.90, 1 Au 3.09
17 Au 0.5000 0.5000 0.5000  6 Au 3.09, 6 Sn 3.15
18 Au 0.5503 0.8675 0.7947  6 Sn 2.82-2.90, 1 Au 3.09
19 Au 0.7947 0.5503 0.8675  6 Sn 2.82-2.90, 1 Au 3.09
20 Au 0.8675 0.7947 0.5503  6 Sn 2.82-2.90, 1 Au 3.09

no.,energy relative to the elements (eV per formula unit)
1,-0.97
2,-3.01
3,-2.41
4,-1.16
5,-3.21
6,-0.36
7,-4.09
8,-0.72
9,-2.04
10,-2.13
11,-2.50
12,-2.06